[1]
Below is an optimized crystal structure of ErPuSc3, with properties calculated at the GGA-PBE level.

Structure (CIF):
```
data_ErPuSc3
_chemical_formula_sum 'Er4 Pu4 Sc12'
_cell_length_a 12.755
_cell_length_b 7.357
_cell_length_c 5.711
_cell_angle_alpha 90.00
_cell_angle_beta 90.00
_cell_angle_gamma 90.00
_symmetry_space_group_name_H-M 'C 1 2/m 1'
_symmetry_Int_Tables_number 12
loop_
_symmetry_equiv_pos_as_xyz
'x,y,z'
'-x,-y,-z'
'-x,y,-z'
'x,-y,z'
'x+1/2,y+1/2,z'
'-x+1/2,-y+1/2,-z'
'-x+1/2,y+1/2,-z'
'x+1/2,-y+1/2,z'
loop_
_atom_site_label
_atom_site_type_symbol
_atom_site_fract_x
_atom_site_fract_y
_atom_site_fract_z
_atom_site_occupancy
Er1 Er 0.167 0.000 0.249 1
Pu1 Pu 0.000 0.500 0.000 1
Pu2 Pu 0.000 0.500 0.500 1
Sc1 Sc 0.099 0.204 0.750 1
Sc2 Sc 0.197 0.500 0.251 1
```

Values from the calculation:
- offset from the most stable computed form (eV per atom) = 0.000
- total energy (eV/atom) = -7.227
- total magnetic moment (Bohr magnetons per cell) = 24.80
- formation energy from the elements (eV/atom) = 0.351


[2]
Below is an optimized crystal structure of Er3ScRu8, with properties calculated at the GGA-PBE level.

Structure (CIF):
```
data_Er3ScRu8
_chemical_formula_sum 'Er9 Sc3 Ru24'
_cell_length_a 5.2727
_cell_length_b 5.2727
_cell_length_c 25.9868
_cell_angle_alpha 90.00
_cell_angle_beta 90.00
_cell_angle_gamma 120.00
_symmetry_space_group_name_H-M 'R 3 m'
_symmetry_Int_Tables_number 160
_symmetry_space_group_name_Hall 'R 3 -2"'
loop_
_atom_site_label
_atom_site_type_symbol
_atom_site_fract_x
_atom_site_fract_y
_atom_site_fract_z
_atom_site_occupancy
Er1 Er 0.0000 0.0000 0.0000 1
Er2 Er 0.0000 0.0000 0.1258 1
Er3 Er 0.0000 0.0000 0.6239 1
Sc1 Sc 0.0000 0.0000 0.5000 1
Ru1 Ru 0.0000 0.0000 0.3125 1
Ru2 Ru 0.0000 0.0000 0.8127 1
Ru3 Ru 0.0023 0.5011 0.0636 1
Ru4 Ru 0.1676 0.3353 0.8947 1
```

Values from the calculation:
- total energy (eV/atom) = -8.184
- total magnetic moment (Bohr magnetons per cell) = 0.00
- formation energy from the elements (eV/atom) = -0.332


[3]
Below is an optimized crystal structure of Rb2SrRuO4, with properties calculated at the GGA-PBE level.

Structure (CIF):
```
data_Rb2SrRuO4
_chemical_formula_sum 'Rb4 Sr2 Ru2 O8'
_cell_length_a 6.431
_cell_length_b 6.431
_cell_length_c 7.656
_cell_angle_alpha 90.00
_cell_angle_beta 90.00
_cell_angle_gamma 90.00
_symmetry_space_group_name_H-M 'I -4'
_symmetry_Int_Tables_number 82
loop_
_symmetry_equiv_pos_as_xyz
'x,y,z'
'y,-x,-z'
'-x,-y,z'
'-y,x,-z'
'x+1/2,y+1/2,z+1/2'
'y+1/2,-x+1/2,-z+1/2'
'-x+1/2,-y+1/2,z+1/2'
'-y+1/2,x+1/2,-z+1/2'
loop_
_atom_site_label
_atom_site_type_symbol
_atom_site_fract_x
_atom_site_fract_y
_atom_site_fract_z
_atom_site_occupancy
Rb1 Rb 0.000 0.000 0.000 1
Rb2 Rb 0.000 0.500 0.250 1
Sr1 Sr 0.000 0.000 0.500 1
Ru1 Ru 0.000 0.500 0.750 1
O1 O 0.160 0.259 0.693 1
```

Values from the calculation:
- total energy (eV/atom) = -5.577
- total magnetic moment (Bohr magnetons per cell) = 4.00
- energy relative to the elements, uncorrected (meV per atom) = -1487


[4]
Below is an optimized crystal structure of HfTiPt, with properties calculated at the GGA-PBE level.

Structure (CIF):
```
data_HfTiPt
_chemical_formula_sum 'Hf3 Ti3 Pt3'
_cell_length_a 3.3040
_cell_length_b 3.3040
_cell_length_c 18.2845
_cell_angle_alpha 90.00
_cell_angle_beta 90.00
_cell_angle_gamma 120.00
_symmetry_space_group_name_H-M 'R 3 m'
_symmetry_Int_Tables_number 160
_symmetry_space_group_name_Hall 'R 3 -2"'
loop_
_atom_site_label
_atom_site_type_symbol
_atom_site_fract_x
_atom_site_fract_y
_atom_site_fract_z
_atom_site_occupancy
Hf1 Hf 0.0000 0.0000 0.0000 1
Ti1 Ti 0.0000 0.0000 0.7926 1
Pt1 Pt 0.0000 0.0000 0.2221 1
```

Values from the calculation:
- offset from the most stable computed form (eV per atom) = 0.092
- total energy (eV/atom) = -8.389
- total magnetic moment (Bohr magnetons per cell) = 0.00
- formation energy from the elements (eV/atom) = -0.426